(1)
# Mg12Tl3Ag

A relaxed Mg12Tl3Ag crystal (GGA-PBE, Alexandria via LeMat-Bulk).

Properties
Space group = P4/mmm (123)
Energy of formation = -0.05 eV per atom
D(E_F) = 5.862 states/eV/f.u.

a b c (Å): 4.548 4.548 17.386
angles (deg): 90.00 90.00 90.00
Fractional coordinates of all 16 atoms:
1 Mg 0.500 0.000 0.887
2 Mg 0.500 0.000 0.372
3 Mg 0.000 0.500 0.372
4 Mg 0.500 0.500 0.243
5 Tl 0.000 0.000 0.243
6 Mg 0.000 0.500 0.887
7 Tl 0.000 0.000 0.500
8 Mg 0.500 0.500 0.500
9 Mg 0.000 0.500 0.113
10 Tl 0.000 0.000 0.757
11 Mg 0.500 0.000 0.628
12 Ag 0.000 0.000 0.000
13 Mg 0.500 0.500 0.000
14 Mg 0.000 0.500 0.628
15 Mg 0.500 0.500 0.757
16 Mg 0.500 0.000 0.113



(2)
# MgTlAg

A relaxed MgTlAg crystal (GGA-PBE, Alexandria via LeMat-Bulk).

Properties
Space group = F-43m (216)
Energy of formation = 0.02 eV per atom
D(E_F) = 2.184 states/eV/f.u.

a b c (Å): 4.714 4.714 4.714
angles (deg): 60.00 60.00 60.00
Fractional coordinates of all 3 atoms:
1 Mg 0.000 0.000 0.000
2 Tl 0.500 0.500 0.500
3 Ag 0.250 0.250 0.250



(3)
# MgTlAg2

A relaxed MgTlAg2 crystal (GGA-PBE, Alexandria via LeMat-Bulk).

Properties
Space group = I-42d (122)
Energy of formation = 0.16 eV per atom
D(E_F) = 1.330 states/eV/f.u.

a b c (Å): 7.940 7.940 6.326
angles (deg): 51.12 51.12 90.00
Fractional coordinates of all 8 atoms:
1 Ag 0.609 0.125 0.250
2 Ag 0.375 0.391 0.750
3 Ag 0.141 0.625 0.250
4 Mg 0.250 0.750 0.500
5 Ag 0.875 0.859 0.750
6 Tl 0.000 0.000 0.000
7 Mg 0.500 0.500 0.000
8 Tl 0.750 0.250 0.500



(4)
# Mg2TlAg4

A relaxed Mg2TlAg4 crystal (GGA-PBE, Alexandria via LeMat-Bulk).

Properties
Space group = I4/mmm (139)
Energy of formation = 0.45 eV per atom
D(E_F) = 2.379 states/eV/f.u.

a b c (Å): 5.245 5.245 7.939
angles (deg): 70.71 70.71 90.00
Fractional coordinates of all 7 atoms:
1 Ag 0.798 0.798 0.404
2 Ag 0.202 0.202 0.596
3 Tl 0.000 0.000 0.000
4 Mg 0.610 0.610 0.780
5 Ag 0.000 0.500 0.000
6 Mg 0.390 0.390 0.220
7 Ag 0.500 0.000 0.000



(5)
# MgTl3Ag

A relaxed MgTl3Ag crystal (GGA-PBE, Alexandria via LeMat-Bulk).

Properties
Space group = Pm-3m (221)
Energy of formation = 0.30 eV per atom
D(E_F) = 3.553 states/eV/f.u.

a b c (Å): 5.524 5.524 5.524
angles (deg): 90.00 90.00 90.00
Fractional coordinates of all 5 atoms:
1 Tl 0.500 0.000 0.000
2 Ag 0.000 0.000 0.000
3 Tl 0.000 0.000 0.500
4 Tl 0.000 0.500 0.000
5 Mg 0.500 0.500 0.500



(6)
# Mg6TlAg12

A relaxed Mg6TlAg12 crystal (GGA-PBE, Alexandria via LeMat-Bulk).

Properties
Space group = R-3 (148)
Energy of formation = -0.07 eV per atom
D(E_F) = 7.358 states/eV/f.u.

a b c (Å): 7.162 7.162 7.162
angles (deg): 90.69 90.69 90.69
Fractional coordinates of all 19 atoms:
1 Mg 0.708 0.115 0.278
2 Ag 0.025 0.375 0.168
3 Ag 0.832 0.975 0.625
4 Ag 0.567 0.471 0.204
5 Ag 0.433 0.529 0.796
6 Ag 0.204 0.567 0.471
7 Ag 0.471 0.204 0.567
8 Mg 0.722 0.292 0.885
9 Mg 0.885 0.722 0.292
10 Ag 0.375 0.168 0.025
11 Ag 0.625 0.832 0.975
12 Ag 0.168 0.025 0.375
13 Ag 0.529 0.796 0.433
14 Mg 0.115 0.278 0.708
15 Ag 0.975 0.625 0.832
16 Tl 0.000 0.000 0.000
17 Ag 0.796 0.433 0.529
18 Mg 0.292 0.885 0.722
19 Mg 0.278 0.708 0.115